Entry A
! BaCuMo (PBE, optimized geometry); values from VASP
&SYSTEM
  ibrav = 0, nat = 6, ntyp = 3
/
ATOMIC_SPECIES
Ba 137.33 Ba.upf
Cu 63.55 Cu.upf
Mo 95.94 Mo.upf
ATOMIC_POSITIONS angstrom
Ba 0.000 0.000 0.000
Ba 1.754 1.754 5.865
Cu 0.000 0.000 8.362
Cu 1.754 1.754 2.497
Mo 0.000 0.000 3.272
Mo 1.754 1.754 9.137
CELL_PARAMETERS angstrom
3.508 0.000 0.000
0.000 3.508 0.000
0.000 0.000 11.730
! Size of the total moment in Bohr magnetons per cell: 3.8
! Density of states at the Fermi level in states/eV per atom: 1.26
! Calculated volume in Å³/cell: 144.31
! Space group: No. 107

---

Entry B
! BaCuMo (PBE, optimized geometry); values from VASP
&SYSTEM
  ibrav = 0, nat = 12, ntyp = 3
/
ATOMIC_SPECIES
Ba 137.33 Ba.upf
Cu 63.55 Cu.upf
Mo 95.94 Mo.upf
ATOMIC_POSITIONS angstrom
Ba 0.000 0.000 0.000
Ba 0.000 3.547 3.547
Ba 3.547 0.000 3.547
Ba 3.547 3.547 0.000
Cu 1.773 1.773 5.320
Cu 1.773 5.320 1.773
Cu 5.320 1.773 1.773
Cu 5.320 5.320 5.320
Mo 0.000 0.000 3.547
Mo 0.000 3.547 0.000
Mo 3.547 0.000 0.000
Mo 3.547 3.547 3.547
CELL_PARAMETERS angstrom
7.094 0.000 0.000
0.000 7.094 0.000
0.000 0.000 7.094
! Size of the total moment in Bohr magnetons per cell: 17.6
! Density of states at the Fermi level in states/eV per atom: 0.79
! Calculated volume in Å³/cell: 356.96
! Space group: No. 216

---

Most stable one: entry A, least stable one: entry B.

---

Entry A
! BaCuMo (PBE, optimized geometry); values from VASP
&SYSTEM
  ibrav = 0, nat = 12, ntyp = 3
/
ATOMIC_SPECIES
Ba 137.33 Ba.upf
Cu 63.55 Cu.upf
Mo 95.94 Mo.upf
ATOMIC_POSITIONS angstrom
Ba 0.000 0.000 0.000
Ba 0.000 3.752 3.752
Ba 3.752 0.000 3.752
Ba 3.752 3.752 0.000
Cu 1.876 1.876 5.628
Cu 1.876 5.628 1.876
Cu 5.628 1.876 1.876
Cu 5.628 5.628 5.628
Mo 1.876 1.876 1.876
Mo 1.876 5.628 5.628
Mo 5.628 1.876 5.628
Mo 5.628 5.628 1.876
CELL_PARAMETERS angstrom
7.504 0.000 0.000
0.000 7.504 0.000
0.000 0.000 7.504
! Size of the total moment in Bohr magnetons per cell: 19.7
! Density of states at the Fermi level in states/eV per atom: 0.52
! Calculated volume in Å³/cell: 422.57
! Space group: No. 216

---

Entry B
! BaCuMo (PBE, optimized geometry); values from VASP
&SYSTEM
  ibrav = 0, nat = 3, ntyp = 3
/
ATOMIC_SPECIES
Ba 137.33 Ba.upf
Cu 63.55 Cu.upf
Mo 95.94 Mo.upf
ATOMIC_POSITIONS angstrom
Ba 0.000 0.000 0.000
Cu 1.587 0.916 2.833
Mo 0.000 1.832 4.665
CELL_PARAMETERS angstrom
3.174 0.000 0.000
-1.587 2.749 0.000
0.000 0.000 7.617
! Size of the total moment in Bohr magnetons per cell: 0.0
! Density of states at the Fermi level in states/eV per atom: 1.21
! Calculated volume in Å³/cell: 66.45
! Space group: No. 156

---

Most stable one: entry B, least stable one: entry A.

---

Entry A
! Ba2CuMo2 (PBE, optimized geometry); values from VASP
&SYSTEM
  ibrav = 0, nat = 10, ntyp = 3
/
ATOMIC_SPECIES
Ba 137.33 Ba.upf
Cu 63.55 Cu.upf
Mo 95.94 Mo.upf
ATOMIC_POSITIONS angstrom
Ba 0.000 0.000 2.137
Ba 0.000 0.000 18.683
Ba 1.824 1.824 8.273
Ba 1.824 1.824 12.547
Cu 0.000 0.000 10.410
Cu 1.824 1.824 0.000
Mo 0.000 1.824 5.205
Mo 0.000 1.824 15.615
Mo 1.824 0.000 5.205
Mo 1.824 0.000 15.615
CELL_PARAMETERS angstrom
3.648 0.000 0.000
0.000 3.648 0.000
0.000 0.000 20.819
! Size of the total moment in Bohr magnetons per cell: 0.0
! Density of states at the Fermi level in states/eV per atom: 0.85
! Calculated volume in Å³/cell: 277.10
! Space group: No. 139

---

Entry B
! Ba2CuMo2 (PBE, optimized geometry); values from VASP
&SYSTEM
  ibrav = 0, nat = 10, ntyp = 3
/
ATOMIC_SPECIES
Ba 137.33 Ba.upf
Cu 63.55 Cu.upf
Mo 95.94 Mo.upf
ATOMIC_POSITIONS angstrom
Ba 2.037 2.845 0.000
Ba 2.845 7.726 0.000
Ba 6.918 2.037 0.000
Ba 7.726 6.918 0.000
Cu 0.000 0.000 0.000
Cu 4.881 4.881 0.000
Mo 0.757 5.638 1.626
Mo 4.124 0.757 1.626
Mo 5.638 9.005 1.626
Mo 9.005 4.124 1.626
CELL_PARAMETERS angstrom
9.762 0.000 0.000
0.000 9.762 0.000
0.000 0.000 3.253
! Size of the total moment in Bohr magnetons per cell: 0.0
! Density of states at the Fermi level in states/eV per atom: 0.94
! Calculated volume in Å³/cell: 309.96
! Space group: No. 127

---

Most stable one: entry A, least stable one: entry B.